1.
A plane-wave DFT calculation with PBE was carried out for Pr2PuSn3Ir4 after structural relaxation.

Output
**Total magnetic moment**: 0.481 μB/atom
**SG**: P-4m2
**VASP energy**: -7.6858 eV/atom
**Formation enthalpy at 0 K**: -0.55 eV per atom

abc: 4.4564 4.4564 11.3844
angles: 90.00 90.00 90.00
Sites, in units of the cell vectors:
Pr: 0.0000 0.5000 0.7682
Pr: 0.5000 0.0000 0.2318
Sn: 0.0000 0.5000 0.1277
Sn: 0.5000 0.0000 0.8723
Sn: 0.0000 0.0000 0.5000
Ir: 0.5000 0.0000 0.6422
Ir: 0.5000 0.5000 0.0000
Ir: 0.0000 0.5000 0.3578
Ir: 0.0000 0.0000 0.0000
Pu: 0.5000 0.5000 0.5000

2.
A plane-wave DFT calculation with PBE was carried out for NdGdCdAg after structural relaxation.

Output
**Total magnetic moment**: 1.902 μB/atom
**SG**: F-43m
**VASP energy**: -5.9450 eV/atom
**Formation enthalpy at 0 K**: -0.29 eV per atom

abc: 5.3254 5.3254 5.3254
angles: 60.00 60.00 60.00
Sites, in units of the cell vectors:
Nd: 0.7500 0.7500 0.7500
Gd: 0.2500 0.2500 0.2500
Ag: 0.5000 0.5000 0.5000
Cd: 0.0000 0.0000 0.0000

3.
A plane-wave DFT calculation with PBE was carried out for NaSrTl3 after structural relaxation.

Output
**Total magnetic moment**: 0.000 μB/atom
**SG**: P2_1/m
**VASP energy**: -2.1606 eV/atom
**Formation enthalpy at 0 K**: -0.14 eV per atom
**Relative energy among the computed polymorphs**: 0.28 eV/f.u.

abc: 3.7873 11.6342 8.2127
angles: 90.00 90.00 111.68
Sites, in units of the cell vectors:
Na: 0.4512 0.8931 0.7500
Na: 0.5488 0.1069 0.2500
Tl: 0.2530 0.1417 0.7500
Tl: 0.2937 0.3164 0.4447
Tl: 0.7063 0.6836 0.9447
Tl: 0.7470 0.8583 0.2500
Tl: 0.7063 0.6836 0.5553
Tl: 0.2937 0.3164 0.0553
Sr: 0.9622 0.4499 0.7500
Sr: 0.0378 0.5501 0.2500